DFT (PBE) results for an optimized crystal structure of TbY2Ho4Tm2.

Values from the calculation:
- total energy (eV/atom) = -4.98
- space group = C2/m, No. 12
- DOS(E_F) (states/eV/atom) = 1.378
- magnetic moment (μB per formula unit) = 0.00

abc: 3.5643 9.4264 9.4586
angles: 115.28 90.00 100.90
Positions (direct):
1 Ho 0.5184 0.0369 0.3326
2 Ho 0.1850 0.3700 0.3343
3 Ho 0.8150 0.6300 0.6657
4 Ho 0.4816 0.9631 0.6674
5 Tm 0.6672 0.3345 0.0021
6 Tm 0.3328 0.6655 0.9979
7 Tb 0.0000 0.0000 0.0000
8 Y 0.1477 0.2954 0.6667
9 Y 0.8523 0.7046 0.3333

---

DFT (PBE) results for an optimized crystal structure of TbY6Ho2Tm3.

Values from the calculation:
- total energy (eV/atom) = -5.47
- space group = C2/m, No. 12
- DOS(E_F) (states/eV/atom) = 1.486
- magnetic moment (μB per formula unit) = 0.00

abc: 6.1313 6.1313 11.7443
angles: 94.98 94.98 119.94
Positions (direct):
1 Tm 0.8332 0.1668 0.5000
2 Tm 0.1668 0.8332 0.5000
3 Tm 0.5000 0.5000 0.5000
4 Ho 0.6666 0.3334 0.0000
5 Ho 0.3334 0.6666 0.0000
6 Tb 0.0000 0.0000 0.0000
7 Y 0.0840 0.4175 0.2512
8 Y 0.5825 0.9160 0.7488
9 Y 0.9160 0.5825 0.7488
10 Y 0.4175 0.0840 0.2512
11 Y 0.7505 0.7505 0.2513
12 Y 0.2495 0.2495 0.7487

---

DFT (PBE) results for an optimized crystal structure of TbYHo2Tm2.

Values from the calculation:
- total energy (eV/atom) = -4.70
- space group = Pnnm, No. 58
- DOS(E_F) (states/eV/atom) = 1.582
- magnetic moment (μB per formula unit) = 0.00

abc: 3.4809 15.9530 6.9212
angles: 90.00 90.00 90.00
Positions (direct):
1 Ho 0.0000 0.6577 0.7497
2 Ho 0.5000 0.8423 0.2497
3 Ho 0.0000 0.3423 0.2503
4 Ho 0.5000 0.1577 0.7503
5 Tm 0.5000 0.8447 0.7506
6 Tm 0.0000 0.6553 0.2506
7 Tm 0.0000 0.3447 0.7494
8 Tm 0.5000 0.1553 0.2494
9 Y 0.0000 0.0000 0.5000
10 Y 0.5000 0.5000 0.0000
11 Tb 0.5000 0.5000 0.5000
12 Tb 0.0000 0.0000 0.0000

---

DFT (PBE) results for an optimized crystal structure of TbY6Ho3Tm2.

Values from the calculation:
- total energy (eV/atom) = -5.48
- space group = C2/m, No. 12
- DOS(E_F) (states/eV/atom) = 1.464
- magnetic moment (μB per formula unit) = 0.00

abc: 6.1369 6.1369 11.7530
angles: 94.98 94.98 119.94
Positions (direct):
1 Y 0.5829 0.9166 0.7504
2 Y 0.7497 0.7497 0.2496
3 Y 0.9166 0.5829 0.7504
4 Y 0.4171 0.0834 0.2496
5 Y 0.0834 0.4171 0.2496
6 Y 0.2503 0.2503 0.7504
7 Tb 0.0000 0.0000 0.0000
8 Ho 0.1669 0.8331 0.5000
9 Ho 0.5000 0.5000 0.5000
10 Ho 0.8331 0.1669 0.5000
11 Tm 0.3333 0.6667 0.0000
12 Tm 0.6667 0.3333 0.0000